The following is a PBE-GGA calculation of an optimized crystal structure of ZrH, from Alexandria via LeMat-Bulk.

Cell: 9.250 3.195 5.194 Å, 90.00 90.00 90.00°
Atoms (fractional coordinates):
Zr 0.000 0.012 0.000
Zr 0.167 0.645 0.488
Zr 0.333 0.355 0.988
Zr 0.500 0.988 0.500
Zr 0.667 0.355 0.988
Zr 0.833 0.645 0.488
H 0.000 0.536 0.741
H 0.207 0.870 0.858
H 0.293 0.130 0.358
H 0.500 0.464 0.241
H 0.707 0.130 0.358
H 0.793 0.870 0.858

Summary:
- E_tot (eV per atom) = -6.2670
- spin magnetization (μB per atom) = 0.000